A relaxed structure of Er6ZnSe5. Source: the Alexandria database, functional PBE.

The structure in CIF format:
```
data_Er6ZnSe5
_cell_length_a 7.0427
_cell_length_b 7.0427
_cell_length_c 7.0193
_cell_angle_alpha 99.61
_cell_angle_beta 99.61
_cell_angle_gamma 119.94
_space_group_name_H-M_alt 'P 1'
_space_group_IT_number 1
_space_group_name_Hall 'P 1'
loop_
_atom_site_label
_atom_site_fract_x
_atom_site_fract_y
_atom_site_fract_z
Zn1 0.0000 0.0000 0.0000
Se1 0.8273 0.1727 0.5000
Se2 0.6654 0.3346 0.0000
Se3 0.5000 0.5000 0.5000
Se4 0.3346 0.6654 0.0000
Se5 0.1727 0.8273 0.5000
Er1 0.4020 0.0799 0.2412
Er2 0.9201 0.5980 0.7588
Er3 0.2398 0.2398 0.7559
Er4 0.7602 0.7602 0.2441
Er5 0.0799 0.4020 0.2412
Er6 0.5980 0.9201 0.7588
```

Calculated values
**Calculated total energy**: -5.339 eV per atom
**ρ**: 8.5 g cm⁻³
**Raw formation energy**: -1.50 eV per atom
**Crystal system**: monoclinic